[1]
A geometry-optimized Cu2Pt2S structure, computed with PBE-GGA.

Values from the calculation:
magnetization	0.000	μB per cell

abc: 6.3713 6.3713 3.7706
angles: 90.00 90.00 90.00
Sites, in units of the cell vectors:
1 Cu 0.1406 0.3594 0.0000
2 Cu 0.3594 0.8594 0.0000
3 Cu 0.6406 0.1406 0.0000
4 Cu 0.8594 0.6406 0.0000
5 Pt 0.1593 0.6593 0.5000
6 Pt 0.3407 0.1593 0.5000
7 Pt 0.6593 0.8407 0.5000
8 Pt 0.8407 0.3407 0.5000
9 S 0.0000 0.0000 0.5000
10 S 0.5000 0.5000 0.5000


[2]
A geometry-optimized CuPtS2 structure, computed with PBE-GGA.

Values from the calculation:
magnetization	0.000	μB per cell

abc: 12.0935 3.5224 4.2419
angles: 90.00 99.37 90.00
Sites, in units of the cell vectors:
1 Cu 0.0000 0.0000 0.0000
2 Cu 0.5000 0.5000 0.0000
3 Pt 0.0000 0.5000 0.5000
4 Pt 0.5000 0.0000 0.5000
5 S 0.1256 0.0000 0.6774
6 S 0.3744 0.5000 0.3226
7 S 0.6256 0.5000 0.6774
8 S 0.8744 0.0000 0.3226


[3]
A geometry-optimized Cu2PtS2 structure, computed with PBE-GGA.

Values from the calculation:
excess energy over the best structure of this formula in the dataset	0	meV per atom
magnetization	0.000	μB per cell

abc: 6.5710 6.5710 3.4915
angles: 90.00 90.00 90.00
Sites, in units of the cell vectors:
1 Cu 0.1427 0.3573 0.0000
2 Cu 0.3573 0.8573 0.0000
3 Cu 0.6427 0.1427 0.0000
4 Cu 0.8573 0.6427 0.0000
5 Pt 0.0000 0.0000 0.5000
6 Pt 0.5000 0.5000 0.5000
7 S 0.1752 0.6752 0.5000
8 S 0.3248 0.1752 0.5000
9 S 0.6752 0.8248 0.5000
10 S 0.8248 0.3248 0.5000


[4]
A geometry-optimized CuPtS2 structure, computed with PBE-GGA.

Values from the calculation:
magnetization	0.000	μB per cell

abc: 5.3386 5.3386 10.5731
angles: 90.00 90.00 90.00
Sites, in units of the cell vectors:
1 Cu 0.0000 0.0000 0.0000
2 Cu 0.0000 0.5000 0.2500
3 Cu 0.5000 0.0000 0.7500
4 Cu 0.5000 0.5000 0.5000
5 Pt 0.0000 0.0000 0.5000
6 Pt 0.0000 0.5000 0.7500
7 Pt 0.5000 0.0000 0.2500
8 Pt 0.5000 0.5000 0.0000
9 S 0.2426 0.2500 0.1250
10 S 0.2500 0.7426 0.3750
11 S 0.2500 0.7574 0.8750
12 S 0.2574 0.2500 0.6250
13 S 0.7426 0.7500 0.6250
14 S 0.7500 0.2426 0.8750
15 S 0.7500 0.2574 0.3750
16 S 0.7574 0.7500 0.1250


| no. | ΔE_f (raw) (eV/f.u.) |
| --- | --- |
| 1 | 0.60 |
| 2 | -0.65 |
| 3 | 0.54 |
| 4 | -0.43 |